The following is a DFT calculation (PBE) of a relaxed Be2PBr crystal.

The structure in POSCAR format:
```
Be2PBr
1.0
4.4810 0.0000 0.0000
0.0000 4.4810 0.0000
0.0000 0.0000 2.8894
Be P Br
2 1 1
direct
0.0000 0.5000 0.0000
0.5000 0.0000 0.0000
0.0000 0.0000 0.5000
0.5000 0.5000 0.5000
```

Output
D(E_F): 1.99 states/eV/f.u.
formation energy from raw total energies: 763 meV per atom
offset from the most stable computed form: 1165.3 meV per atom